Compound: Ba2MgAl12Ag3
Source: Alexandria via LeMat-Bulk
Functional: PBE
Structure: relaxed

Values from the calculation:
The calculation puts the volume at 414.8 Å³/cell. As for the formation enthalpy at 0 K: 16 meV/atom. The space-group type is R-3m (166). For the total moment, the calculation gives 0.00 μB/f.u.

The structure in POSCAR format:
```
Ba2MgAl12Ag3
1.0
10.7180 2.3062 1.6357
7.2984 8.1809 1.6357
7.2984 4.2483 7.1801
Ba Mg Al Ag
2 1 12 3
Direct
0.6464 0.6464 0.6464 Ba
0.3536 0.3536 0.3536 Ba
0.0000 0.0000 0.0000 Mg
0.4131 0.4131 0.8103 Al
0.9391 0.9391 0.3512 Al
0.3512 0.9391 0.9391 Al
0.8103 0.4131 0.4131 Al
0.9391 0.3512 0.9391 Al
0.4131 0.8103 0.4131 Al
0.5869 0.5869 0.1897 Al
0.0609 0.0609 0.6488 Al
0.6488 0.0609 0.0609 Al
0.1897 0.5869 0.5869 Al
0.0609 0.6488 0.0609 Al
0.5869 0.1897 0.5869 Al
0.5000 0.0000 0.0000 Ag
0.0000 0.5000 0.0000 Ag
0.0000 0.0000 0.5000 Ag
```

***

Compound: PmMgScIn
Source: Alexandria via LeMat-Bulk
Functional: PBE
Structure: relaxed

Values from the calculation:
The calculation puts the volume at 101.6 Å³/cell. As for the formation enthalpy at 0 K: -306 meV/atom. The space-group type is F-43m (216). For the total moment, the calculation gives 0.00 μB/f.u.

The structure in POSCAR format:
```
PmMgScIn
1.0
-1.7500 -4.8442 -0.9467
2.9096 -3.3346 -2.8000
2.2602 -4.1043 2.3392
Sc Mg In Pm
1 1 1 1
Direct
0.0000 0.0000 0.0000 Sc
0.7500 0.7500 0.7500 Mg
0.2500 0.2500 0.2500 In
0.5000 0.5000 0.5000 Pm
```

***

Compound: Rb2CdH
Source: Alexandria via LeMat-Bulk
Functional: PBE
Structure: relaxed

Values from the calculation:
The calculation puts the total energy at -0.1134 Ry/atom. The calculation puts the volume at 148.1 Å³/cell. The space-group type is R-3m (166). For the total moment, the calculation gives 0.00 μB/f.u.

The structure in POSCAR format:
```
Rb2CdH
1.0
4.2093 0.0000 0.0000
2.1047 3.6454 0.0000
2.1047 1.2151 9.6508
H Rb Cd
1 2 1
Direct
0.0000 0.0000 0.0000 H
0.2722 0.2722 0.1834 Rb
0.7278 0.7278 0.8166 Rb
0.5000 0.5000 0.5000 Cd
```

***

Compound: AlV5Ga
Source: Alexandria via LeMat-Bulk
Functional: PBE
Structure: relaxed

Values from the calculation:
The calculation puts the volume at 199.1 Å³/cell. As for the formation enthalpy at 0 K: -16 meV/atom. The space-group type is C2/c (15). For the total moment, the calculation gives 0.00 μB/f.u.

The structure in POSCAR format:
```
AlV5Ga
1.0
4.6959 -1.3224 0.5217
0.2358 4.8729 0.5217
2.2958 1.6528 9.0705
Al V Ga
2 10 2
Direct
0.4845 0.5155 0.2500 Al
0.5155 0.4845 0.7500 Al
0.0160 0.3945 0.1501 V
0.2308 0.5495 0.5466 V
0.3945 0.0160 0.6501 V
0.1381 0.8619 0.2500 V
0.4505 0.7692 0.9534 V
0.5495 0.2308 0.0466 V
0.8619 0.1381 0.7500 V
0.6055 0.9840 0.3499 V
0.7692 0.4505 0.4534 V
0.9840 0.6055 0.8499 V
0.0000 0.0000 0.0000 Ga
0.0000 0.0000 0.5000 Ga
```